# 1
First-principles (PBE) data for Sr2ScAu after structural relaxation, as listed in Alexandria via LeMat-Bulk.

Cell lengths 5.497, 5.497, 5.497 Å; angles 60.00, 60.00, 60.00 degrees
Element x y z (fractional)
Au1 0.500 0.500 0.500
Sr1 0.250 0.250 0.250
Sr2 0.000 0.000 0.000
Sc1 0.750 0.750 0.750

Summary:
Its space group is No. 216. The raw total energy is -12.7 eV per cell. The value obtained for the offset from the most stable computed form is 35.0 kJ/mol of atoms. The value obtained for the density of states at the Fermi level is 3.91 states/eV/cell.

# 2
First-principles (PBE) data for Sr2ScAu after structural relaxation, as listed in Alexandria via LeMat-Bulk.

Cell lengths 3.737, 3.737, 9.670 Å; angles 90.00, 90.00, 90.00 degrees
Element x y z (fractional)
Sr1 0.500 0.500 0.320
Sr2 0.000 0.000 0.953
Au1 0.000 0.000 0.558
Sc1 0.500 0.500 0.669

Summary:
Its space group is No. 99. The raw total energy is -14.2 eV per cell. The value obtained for the offset from the most stable computed form is 0.0 kJ/mol of atoms. The value obtained for the density of states at the Fermi level is 4.98 states/eV/cell.

# 3
First-principles (PBE) data for SrSc2Au after structural relaxation, as listed in Alexandria via LeMat-Bulk.

Cell lengths 6.496, 6.496, 3.387 Å; angles 75.78, 75.78, 121.87 degrees
Element x y z (fractional)
Au1 0.000 0.500 0.500
Sr1 0.500 0.000 0.500
Sc1 0.500 0.500 0.000
Sc2 0.000 0.000 0.000

Summary:
Its space group is No. 12. The raw total energy is -17.5 eV per cell. The value obtained for the offset from the most stable computed form is 29.5 kJ/mol of atoms. The value obtained for the density of states at the Fermi level is 6.12 states/eV/cell.

# 4
First-principles (PBE) data for Sr2ScAu after structural relaxation, as listed in Alexandria via LeMat-Bulk.

Cell lengths 9.485, 9.485, 4.345 Å; angles 76.77, 76.77, 22.26 degrees
Element x y z (fractional)
Au1 0.250 0.250 0.250
Sc1 0.750 0.750 0.750
Sr1 0.907 0.907 0.093
Sr2 0.593 0.593 0.407

Summary:
Its space group is No. 71. The raw total energy is -13.8 eV per cell. The value obtained for the offset from the most stable computed form is 7.5 kJ/mol of atoms. The value obtained for the density of states at the Fermi level is 4.96 states/eV/cell.

# 5
First-principles (PBE) data for SrSc3Au after structural relaxation, as listed in Alexandria via LeMat-Bulk.

Cell lengths 5.075, 5.075, 5.075 Å; angles 90.00, 90.00, 90.00 degrees
Element x y z (fractional)
Au1 0.500 0.500 0.500
Sc1 0.000 0.000 0.500
Sc2 0.000 0.500 0.000
Sc3 0.500 0.000 0.000
Sr1 0.000 0.000 0.000

Summary:
Its space group is No. 221. The raw total energy is -17.5 eV per cell. The value obtained for the offset from the most stable computed form is 129.7 kJ/mol of atoms. The value obtained for the density of states at the Fermi level is 5.28 states/eV/cell.

# 6
First-principles (PBE) data for Sr2ScAu after structural relaxation, as listed in Alexandria via LeMat-Bulk.

Cell lengths 5.518, 5.516, 4.097 Å; angles 90.00, 90.00, 90.00 degrees
Element x y z (fractional)
Sc1 0.000 0.500 0.500
Au1 0.500 0.000 0.500
Sr1 0.000 0.000 0.000
Sr2 0.500 0.500 0.000

Summary:
Its space group is No. 123. The raw total energy is -13.2 eV per cell. The value obtained for the offset from the most stable computed form is 23.5 kJ/mol of atoms. The value obtained for the density of states at the Fermi level is 3.33 states/eV/cell.

# 7
First-principles (PBE) data for SrSc2Au after structural relaxation, as listed in Alexandria via LeMat-Bulk.

Cell lengths 9.921, 9.921, 9.921 Å; angles 22.14, 22.14, 22.14 degrees
Element x y z (fractional)
Sr1 0.250 0.250 0.250
Sc1 0.474 0.474 0.474
Sc2 0.026 0.026 0.026
Au1 0.750 0.750 0.750

Summary:
Its space group is No. 166. The raw total energy is -18.0 eV per cell. The value obtained for the offset from the most stable computed form is 16.5 kJ/mol of atoms. The value obtained for the density of states at the Fermi level is 5.19 states/eV/cell.

# 8
First-principles (PBE) data for SrSc2Au after structural relaxation, as listed in Alexandria via LeMat-Bulk.

Cell lengths 8.521, 8.521, 6.824 Å; angles 51.37, 51.37, 90.00 degrees
Site moments in Bohr magnetons follow the coordinates.
Element x y z (fractional)
Sc1 0.875 0.950 0.750  0.22
Sc2 0.375 0.300 0.750  0.23
Sc3 0.050 0.625 0.250  0.22
Sc4 0.700 0.125 0.250  0.22
Sr1 0.500 0.500 0.000  0.04
Sr2 0.250 0.750 0.500  0.04
Au1 0.000 0.000 0.000  0.01
Au2 0.750 0.250 0.500  0.01

Summary:
Its space group is No. 122. The raw total energy is -36.1 eV per cell. The value obtained for the offset from the most stable computed form is 15.8 kJ/mol of atoms. The value obtained for the density of states at the Fermi level is 6.45 states/eV/cell.

# 9
First-principles (PBE) data for Sr2ScAu after structural relaxation, as listed in Alexandria via LeMat-Bulk.

Cell lengths 6.143, 6.143, 6.143 Å; angles 132.68, 132.68, 69.15 degrees
Site moments in Bohr magnetons follow the coordinates.
Element x y z (fractional)
Sr1 0.000 0.000 0.000  0.04
Sr2 0.500 0.500 0.000  0.04
Sc1 0.750 0.250 0.500  0.37
Au1 0.250 0.750 0.500  0.02

Summary:
Its space group is No. 139. The raw total energy is -12.7 eV per cell. The value obtained for the offset from the most stable computed form is 34.1 kJ/mol of atoms. The value obtained for the density of states at the Fermi level is 5.68 states/eV/cell.

# 10
First-principles (PBE) data for SrSc2Au after structural relaxation, as listed in Alexandria via LeMat-Bulk.

Cell lengths 5.833, 5.833, 5.833 Å; angles 134.04, 134.04, 67.02 degrees
Element x y z (fractional)
Au1 0.750 0.250 0.500
Sr1 0.500 0.500 0.000
Sc1 0.250 0.750 0.500
Sc2 0.000 0.000 0.000

Summary:
Its space group is No. 119. The raw total energy is -17.6 eV per cell. The value obtained for the offset from the most stable computed form is 28.0 kJ/mol of atoms. The value obtained for the density of states at the Fermi level is 7.27 states/eV/cell.

# 11
First-principles (PBE) data for Sr2ScAu after structural relaxation, as listed in Alexandria via LeMat-Bulk.

Cell lengths 10.422, 10.422, 10.422 Å; angles 22.26, 22.26, 22.26 degrees
Site moments in Bohr magnetons follow the coordinates.
Element x y z (fractional)
Sr1 0.514 0.514 0.514  0.04
Sr2 0.986 0.986 0.986  0.04
Sc1 0.750 0.750 0.750  0.59
Au1 0.250 0.250 0.250  0.00

Summary:
Its space group is No. 166. The raw total energy is -13.2 eV per cell. The value obtained for the offset from the most stable computed form is 23.9 kJ/mol of atoms. The value obtained for the density of states at the Fermi level is 5.03 states/eV/cell.

# 12
First-principles (PBE) data for SrSc2Au after structural relaxation, as listed in Alexandria via LeMat-Bulk.

Cell lengths 3.978, 5.005, 5.103 Å; angles 90.00, 90.00, 90.00 degrees
Site moments in Bohr magnetons follow the coordinates.
Element x y z (fractional)
Sc1 0.000 0.000 0.000  0.13
Sc2 0.500 0.500 0.000  0.10
Sr1 0.500 0.000 0.500  0.00
Au1 0.000 0.500 0.500  0.00

Summary:
Its space group is No. 47. The raw total energy is -17.9 eV per cell. The value obtained for the offset from the most stable computed form is 19.4 kJ/mol of atoms. The value obtained for the density of states at the Fermi level is 4.31 states/eV/cell.

# 13
First-principles (PBE) data for SrSc2Au after structural relaxation, as listed in Alexandria via LeMat-Bulk.

Cell lengths 6.530, 6.530, 6.530 Å; angles 148.90, 130.83, 59.33 degrees
Element x y z (fractional)
Sc1 0.047 0.047 0.000
Sc2 0.453 0.453 0.000
Au1 0.250 0.750 0.500
Sr1 0.750 0.250 0.500

Summary:
Its space group is No. 71. The raw total energy is -18.7 eV per cell. The value obtained for the offset from the most stable computed form is 1.5 kJ/mol of atoms. The value obtained for the density of states at the Fermi level is 5.50 states/eV/cell.

# 14
First-principles (PBE) data for SrSc2Au after structural relaxation, as listed in Alexandria via LeMat-Bulk.

Cell lengths 4.674, 3.712, 6.571 Å; angles 73.55, 90.00, 90.00 degrees
Element x y z (fractional)
Sc1 0.000 0.918 0.947
Sc2 0.000 0.582 0.553
Au1 0.500 0.750 0.750
Sr1 0.500 0.250 0.250

Summary:
Its space group is No. 10. The raw total energy is -18.0 eV per cell. The value obtained for the offset from the most stable computed form is 17.3 kJ/mol of atoms. The value obtained for the density of states at the Fermi level is 5.62 states/eV/cell.

# 15
First-principles (PBE) data for Sr2Sc2Au after structural relaxation, as listed in Alexandria via LeMat-Bulk.

Cell lengths 7.340, 7.340, 5.877 Å; angles 90.00, 90.00, 90.00 degrees
Site moments in Bohr magnetons follow the coordinates.
Element x y z (fractional)
Sc1 0.347 0.847 0.000  0.31
Sc2 0.153 0.347 0.000  0.31
Sc3 0.653 0.153 0.000  0.31
Sc4 0.847 0.653 0.000  0.32
Sr1 0.676 0.824 0.500  0.06
Sr2 0.824 0.324 0.500  0.07
Sr3 0.176 0.676 0.500  0.07
Sr4 0.324 0.176 0.500  0.06
Au1 0.500 0.500 0.000  0.02
Au2 0.000 0.000 0.000  0.02

Summary:
Its space group is No. 127. The raw total energy is -38.9 eV per cell. The value obtained for the density of states at the Fermi level is 13.29 states/eV/cell.